[1]
The following is a DFT calculation (PBE) of a relaxed structure of TlCuSn2.

SG: R3m, No. 160
Relative energy among the computed polymorphs in eV/f.u.: 0.00
Formation enthalpy at 0 K in eV/atom: 0.053
Fermi-level density of states in states/eV/cell: 1.7

Unit cell a=4.286 b=4.286 c=7.238 alpha=72.78 beta=72.78 gamma=60.00
Atoms (fractional coordinates):
Tl1 0.499 0.499 0.503
Cu1 0.667 0.667 0.999
Sn1 0.052 0.052 0.845
Sn2 0.282 0.282 0.153

=====

[2]
The following is a DFT calculation (PBE) of a relaxed structure of TlCuSn3.

SG: Pm-3m, No. 221
Relative energy among the computed polymorphs in eV/f.u.: 0.75
Formation enthalpy at 0 K in eV/atom: 0.207
Fermi-level density of states in states/eV/cell: 2.0

Unit cell a=5.186 b=5.186 c=5.186 alpha=90.00 beta=90.00 gamma=90.00
Atoms (fractional coordinates):
Tl1 0.500 0.500 0.500
Sn1 0.000 0.500 0.000
Sn2 0.000 0.000 0.500
Sn3 0.500 0.000 0.000
Cu1 0.000 0.000 0.000

=====

[3]
The following is a DFT calculation (PBE) of a relaxed structure of Tl2Cu2Sn.

SG: P4/mbm, No. 127
Relative energy among the computed polymorphs in eV/f.u.: 0.00
Formation enthalpy at 0 K in eV/atom: 0.202
Fermi-level density of states in states/eV/cell: 3.8

Unit cell a=7.085 b=7.085 c=4.350 alpha=90.00 beta=90.00 gamma=90.00
Atoms (fractional coordinates):
Tl1 0.168 0.668 0.500
Tl2 0.668 0.832 0.500
Tl3 0.832 0.332 0.500
Tl4 0.332 0.168 0.500
Sn1 0.000 0.000 0.000
Sn2 0.500 0.500 0.000
Cu1 0.373 0.873 0.000
Cu2 0.873 0.627 0.000
Cu3 0.627 0.127 0.000
Cu4 0.127 0.373 0.000

=====

[4]
The following is a DFT calculation (PBE) of a relaxed structure of TlCuSn3.

SG: Pnma, No. 62
Relative energy among the computed polymorphs in eV/f.u.: 0.00
Formation enthalpy at 0 K in eV/atom: 0.057
Fermi-level density of states in states/eV/cell: 9.6

Unit cell a=4.477 b=9.831 c=11.742 alpha=90.00 beta=90.00 gamma=90.00
Atoms (fractional coordinates):
Tl1 0.750 0.858 0.003
Tl2 0.250 0.642 0.503
Tl3 0.750 0.358 0.497
Tl4 0.250 0.142 0.997
Cu1 0.250 0.050 0.658
Cu2 0.250 0.550 0.842
Cu3 0.750 0.450 0.158
Cu4 0.750 0.950 0.342
Sn1 0.250 0.587 0.075
Sn2 0.750 0.413 0.925
Sn3 0.250 0.087 0.425
Sn4 0.750 0.913 0.575
Sn5 0.250 0.330 0.699
Sn6 0.750 0.170 0.199
Sn7 0.250 0.830 0.801
Sn8 0.750 0.629 0.717
Sn9 0.250 0.371 0.283
Sn10 0.750 0.129 0.783
Sn11 0.750 0.670 0.301
Sn12 0.250 0.871 0.217

=====

[5]
The following is a DFT calculation (PBE) of a relaxed structure of TlCu4Sn.

SG: F-43m, No. 216
Formation enthalpy at 0 K in eV/atom: 0.141
Fermi-level density of states in states/eV/cell: 3.8

Unit cell a=5.154 b=5.154 c=5.154 alpha=60.00 beta=60.00 gamma=60.00
Atoms (fractional coordinates):
Tl1 0.250 0.250 0.250
Sn1 0.000 0.000 0.000
Cu1 0.625 0.625 0.125
Cu2 0.625 0.125 0.625
Cu3 0.625 0.625 0.625
Cu4 0.125 0.625 0.625

=====

[6]
The following is a DFT calculation (PBE) of a relaxed structure of TlCuSn2.

SG: P4/mmm, No. 123
Relative energy among the computed polymorphs in eV/f.u.: 0.03
Formation enthalpy at 0 K in eV/atom: 0.061
Fermi-level density of states in states/eV/cell: 1.7

Unit cell a=3.334 b=3.334 c=8.835 alpha=90.00 beta=90.00 gamma=90.00
Atoms (fractional coordinates):
Tl1 0.500 0.500 0.500
Sn1 0.000 0.000 0.813
Sn2 0.000 0.000 0.187
Cu1 0.500 0.500 0.000

=====

[7]
The following is a DFT calculation (PBE) of a relaxed structure of Tl2Cu2Sn.

SG: P4/mbm, No. 127
Relative energy among the computed polymorphs in eV/f.u.: 0.75
Formation enthalpy at 0 K in eV/atom: 0.352
Fermi-level density of states in states/eV/cell: 4.6

Unit cell a=8.383 b=8.383 c=3.111 alpha=90.00 beta=90.00 gamma=90.00
Atoms (fractional coordinates):
Tl1 0.357 0.857 0.000
Tl2 0.857 0.643 0.000
Tl3 0.643 0.143 0.000
Tl4 0.143 0.357 0.000
Sn1 0.000 0.000 0.000
Sn2 0.500 0.500 0.000
Cu1 0.154 0.654 0.500
Cu2 0.654 0.846 0.500
Cu3 0.846 0.346 0.500
Cu4 0.346 0.154 0.500

=====

[8]
The following is a DFT calculation (PBE) of a relaxed structure of Tl2CuSn2.

SG: P4/mbm, No. 127
Relative energy among the computed polymorphs in eV/f.u.: 0.00
Formation enthalpy at 0 K in eV/atom: 0.105
Fermi-level density of states in states/eV/cell: 6.0

Unit cell a=6.953 b=6.953 c=5.607 alpha=90.00 beta=90.00 gamma=90.00
Atoms (fractional coordinates):
Tl1 0.171 0.671 0.500
Tl2 0.671 0.829 0.500
Tl3 0.829 0.329 0.500
Tl4 0.329 0.171 0.500
Sn1 0.348 0.848 0.000
Sn2 0.848 0.652 0.000
Sn3 0.652 0.152 0.000
Sn4 0.152 0.348 0.000
Cu1 0.000 0.000 0.000
Cu2 0.500 0.500 0.000

=====

[9]
The following is a DFT calculation (PBE) of a relaxed structure of TmCuSn2.

SG: P4/mmm, No. 123
Formation enthalpy at 0 K in eV/atom: -0.323
Fermi-level density of states in states/eV/cell: 1.6

Unit cell a=4.339 b=4.491 c=4.491 alpha=90.00 beta=90.00 gamma=90.00
Atoms (fractional coordinates):
Tm1 0.500 0.000 0.000
Sn1 0.000 0.000 0.500
Sn2 0.000 0.500 0.000
Cu1 0.500 0.500 0.500

=====

[10]
The following is a DFT calculation (PBE) of a relaxed structure of Tm8Cu2Sn.

SG: C2/m, No. 12
Formation enthalpy at 0 K in eV/atom: -0.142
Fermi-level density of states in states/eV/cell: 15.2

Unit cell a=5.256 b=7.931 c=7.931 alpha=113.69 beta=98.45 gamma=98.45
Site moments in Bohr magnetons follow the coordinates.
Atoms (fractional coordinates):
Tm1 0.908 0.920 0.669  0.14
Tm2 0.908 0.669 0.920  0.14
Tm3 0.303 0.607 0.607  0.13
Tm4 0.500 0.757 0.243  0.09
Tm5 0.500 0.243 0.757  0.09
Tm6 0.697 0.393 0.393  0.13
Tm7 0.092 0.331 0.080  0.14
Tm8 0.092 0.080 0.331  0.14
Cu1 0.000 0.308 0.692  0.02
Cu2 0.000 0.692 0.308  0.02
Sn1 0.500 0.000 0.000  -0.01

=====

[11]
The following is a DFT calculation (PBE) of a relaxed structure of Tm5Cu2Sn.

SG: I4/mcm, No. 140
Formation enthalpy at 0 K in eV/atom: -0.361
Fermi-level density of states in states/eV/cell: 16.9

Unit cell a=7.749 b=7.749 c=8.487 alpha=117.16 beta=117.16 gamma=90.00
Atoms (fractional coordinates):
Tm1 0.515 0.701 0.717
Tm2 0.799 0.985 0.283
Tm3 0.000 0.000 0.000
Tm4 0.500 0.500 0.000
Tm5 0.201 0.015 0.717
Tm6 0.701 0.201 0.717
Tm7 0.015 0.515 0.717
Tm8 0.299 0.799 0.283
Tm9 0.985 0.485 0.283
Tm10 0.485 0.299 0.283
Cu1 0.128 0.372 0.000
Cu2 0.628 0.128 0.000
Cu3 0.372 0.872 0.000
Cu4 0.872 0.628 0.000
Sn1 0.750 0.750 0.500
Sn2 0.250 0.250 0.500

=====

[12]
The following is a DFT calculation (PBE) of a relaxed structure of Tm4CuSn2.

SG: C2/m, No. 12
Formation enthalpy at 0 K in eV/atom: -0.276
Fermi-level density of states in states/eV/cell: 5.6

Unit cell a=3.556 b=6.832 c=8.607 alpha=113.75 beta=101.92 gamma=90.00
Atoms (fractional coordinates):
Tm1 0.915 0.265 0.830
Tm2 0.085 0.735 0.170
Tm3 0.615 0.317 0.230
Tm4 0.385 0.683 0.770
Cu1 0.000 0.000 0.000
Sn1 0.750 0.800 0.501
Sn2 0.250 0.200 0.499

=====

Among the records above, which one has the highest Fermi-level density of states? Tm5Cu2Sn

=====

Which of these has the highest formation enthalpy at 0 K? number 7

=====

The highest formation enthalpy at 0 K belongs to which entry? number 7

=====

formation enthalpy at 0 K of number 10 (Tm8Cu2Sn)? -0.142 eV/atom